Entry 1:
The following is a SCAN calculation of a crystal of YTcW2 relaxed with PBEsol, from the Alexandria database.

Summary:
Total magnetization (μB/f.u.): 0.0
Space group: P4/mmm (123)
V (Å³/atom): 17.49
E above lowest polymorph (eV/atom): 0.393
Total DFT energy (no corrections) (eV/cell): -199.8
ΔH_f (0 K) (eV/atom): 0.6296
Fermi-level density of states (states/eV per cell): 2.72

Lattice parameters (Å, degrees): 3.817 3.817 4.803 90.00 90.00 90.00
Atoms (fractional coordinates):
1 Y 0.000 0.000 0.000
2 Tc 0.500 0.500 0.000
3 W 0.000 0.500 0.500
4 W 0.500 0.000 0.500

Entry 2:
The following is a SCAN calculation of a crystal of YTcW2 relaxed with PBEsol, from the Alexandria database.

Summary:
Total magnetization (μB/f.u.): 0.0
Space group: P4mm (99)
V (Å³/atom): 17.65
E above lowest polymorph (eV/atom): 0.000
Total DFT energy (no corrections) (eV/cell): -201.3
ΔH_f (0 K) (eV/atom): 0.2370
Fermi-level density of states (states/eV per cell): 3.91

Lattice parameters (Å, degrees): 3.172 3.172 7.017 90.00 90.00 90.00
Atoms (fractional coordinates):
1 Y 0.000 0.000 0.000
2 Tc 0.500 0.500 0.288
3 W 0.000 0.000 0.492
4 W 0.500 0.500 0.708

Entry 3:
The following is a SCAN calculation of a crystal of ZnTcW3 relaxed with PBEsol, from the Alexandria database.

Summary:
Total magnetization (μB/f.u.): 0.0
Space group: Pm-3m (221)
V (Å³/atom): 20.01
Total DFT energy (no corrections) (eV/cell): -247.2
ΔH_f (0 K) (eV/atom): 2.0918
Fermi-level density of states (states/eV per cell): 3.96

Lattice parameters (Å, degrees): 4.642 4.642 4.642 90.00 90.00 90.00
Atoms (fractional coordinates):
1 Zn 0.000 0.000 0.000
2 Tc 0.500 0.500 0.500
3 W 0.000 0.500 0.500
4 W 0.500 0.000 0.500
5 W 0.500 0.500 0.000

Entry 4:
The following is a SCAN calculation of a crystal of ZnTcW2 relaxed with PBEsol, from the Alexandria database.

Summary:
Total magnetization (μB/f.u.): 0.0
Space group: I-4m2 (119)
V (Å³/atom): 14.70
Total DFT energy (no corrections) (eV/cell): -186.9
ΔH_f (0 K) (eV/atom): 0.2748
Fermi-level density of states (states/eV per cell): 2.64

Lattice parameters (Å, degrees): 4.812 4.812 4.812 132.84 132.84 68.91
Atoms (fractional coordinates):
1 Zn 0.000 0.000 0.000
2 Tc 0.750 0.250 0.500
3 W 0.250 0.750 0.500
4 W 0.500 0.500 0.000

Copy entry 2 word for word.
The following is a SCAN calculation of a crystal of YTcW2 relaxed with PBEsol, from the Alexandria database.

Summary:
Total magnetization (μB/f.u.): 0.0
Space group: P4mm (99)
V (Å³/atom): 17.65
E above lowest polymorph (eV/atom): 0.000
Total DFT energy (no corrections) (eV/cell): -201.3
ΔH_f (0 K) (eV/atom): 0.2370
Fermi-level density of states (states/eV per cell): 3.91

Lattice parameters (Å, degrees): 3.172 3.172 7.017 90.00 90.00 90.00
Atoms (fractional coordinates):
1 Y 0.000 0.000 0.000
2 Tc 0.500 0.500 0.288
3 W 0.000 0.000 0.492
4 W 0.500 0.500 0.708

Question: The lowest Fermi-level density of states belongs to which entry?
Answer: ZnTcW2